(1)
This record from the Alexandria database describes a geometry-optimized ScPb structure. The functional is GGA-PBEsol.

Unit cell a=5.9756 b=5.9756 c=5.9756 alpha=138.34 beta=138.34 gamma=60.38
Last column: nearest neighbours and their distance in Å.
Positions (direct):
Sc: 0.3750 0.6250 0.7500  8 Pb 3.00-3.34, 4 Sc 3.34
Sc: 0.6250 0.3750 0.2500  8 Pb 3.00-3.34, 4 Sc 3.34
Pb: 0.1250 0.8750 0.2500  8 Sc 3.00-3.34, 4 Pb 3.34
Pb: 0.8750 0.1250 0.7500  8 Sc 3.00-3.34, 4 Pb 3.34

Formation enthalpy at 0 K (meV per atom): -479
SG: No. 141
Density of states at the Fermi level (states/eV/atom): 0.360

---

(2)
This record from the Alexandria database describes a geometry-optimized ReTcW2 structure. The functional is GGA-PBEsol.

Unit cell a=5.1437 b=5.1437 c=5.1437 alpha=144.93 beta=128.81 gamma=63.56
Last column: nearest neighbours and their distance in Å.
Positions (direct):
Re: 0.0000 0.0000 0.0000  4 W 2.66, 4 Tc 2.71
Tc: 0.5000 0.5000 0.0000  4 W 2.70, 4 Re 2.71
W: 0.2471 0.7471 0.5000  2 Re 2.66, 2 Tc 2.70, 4 W 2.71
W: 0.7529 0.2529 0.5000  2 Re 2.66, 2 Tc 2.70, 4 W 2.71

Formation enthalpy at 0 K (meV per atom): 123
SG: No. 71
Density of states at the Fermi level (states/eV/atom): 0.898

---

Computed values of energy (unit: eV/atom) for the preceding records, in sequence: -5.781, -12.931.